# 1
DFT (PBE-GGA) results for a relaxed structure of Sr2Sn3Pd.

a = 9.498 Å, b = 9.454 Å, c = 6.650 Å
α = 69.81°, β = 69.11°, γ = 41.08°
Fractional coordinates of all 12 atoms:
Sr: 0.248 0.752 0.752
Sr: 0.250 0.250 0.250
Sr: 0.750 0.750 0.750
Sr: 0.752 0.248 0.248
Sn: 0.154 0.673 0.327
Sn: 0.327 0.327 0.673
Sn: 0.327 0.846 0.154
Sn: 0.673 0.154 0.846
Sn: 0.673 0.673 0.327
Sn: 0.846 0.327 0.673
Pd: 0.167 0.167 0.833
Pd: 0.833 0.833 0.167

formation energy from the elements	-0.63	eV per atom
size of the total moment	0.0	μB/cell
DFT total energy	-48.7	eV for the cell shown
distance to the lowest polymorph of the same formula	0.2	kJ per mole of atoms
SG	No. 69

---

# 2
DFT (PBE-GGA) results for a relaxed structure of Pm2ZrAg6.

a = 8.427 Å, b = 8.427 Å, c = 3.146 Å
α = 90.00°, β = 90.00°, γ = 120.00°
Fractional coordinates of all 9 atoms:
Pm: 0.333 0.667 0.000
Pm: 0.667 0.333 0.000
Zr: 0.000 0.000 0.000
Ag: 0.000 0.329 0.500
Ag: 0.000 0.671 0.500
Ag: 0.329 0.000 0.500
Ag: 0.329 0.329 0.500
Ag: 0.671 0.000 0.500
Ag: 0.671 0.671 0.500

formation energy from the elements	-0.14	eV per atom
size of the total moment	0.0	μB/cell
DFT total energy	-36.5	eV for the cell shown
SG	No. 191

---

# 3
DFT (PBE-GGA) results for a relaxed structure of ZrCrSiI2.

a = 5.330 Å, b = 5.330 Å, c = 4.613 Å
α = 90.00°, β = 90.00°, γ = 90.00°
Fractional coordinates of all 5 atoms:
Zr: 0.000 0.000 0.000
Cr: 0.500 0.500 0.500
Si: 0.500 0.500 0.000
I: 0.000 0.500 0.500
I: 0.500 0.000 0.500

ΔE_f (raw)	383	kJ/mol of formula units
size of the total moment	2.8	μB/cell
DFT total energy	-22.7	eV for the cell shown
SG	No. 123

---

# 4
DFT (PBE-GGA) results for a relaxed structure of Sc2RhBr.

a = 3.799 Å, b = 3.799 Å, c = 10.719 Å
α = 90.00°, β = 90.00°, γ = 90.00°
Fractional coordinates of all 8 atoms:
Sc: 0.000 0.000 0.000
Sc: 0.000 0.500 0.250
Sc: 0.500 0.000 0.750
Sc: 0.500 0.500 0.500
Rh: 0.000 0.000 0.500
Rh: 0.500 0.500 0.000
Br: 0.000 0.500 0.750
Br: 0.500 0.000 0.250

ΔE_f (raw)	-189	kJ/mol of formula units
size of the total moment	0.0	μB/cell
DFT total energy	-47.3	eV for the cell shown
distance to the lowest polymorph of the same formula	42.0	kJ per mole of atoms
SG	No. 119

---

# 5
DFT (PBE-GGA) results for a relaxed structure of Dy2ErPuSc4.

a = 8.940 Å, b = 8.940 Å, c = 8.940 Å
α = 137.57°, β = 102.75°, γ = 92.36°
Fractional coordinates of all 16 atoms:
Dy: 0.000 0.000 0.000
Dy: 0.500 0.000 0.000
Dy: 0.500 0.000 0.500
Dy: 0.500 0.500 0.500
Er: 0.000 0.000 0.500
Er: 0.000 0.500 0.000
Pu: 0.000 0.500 0.500
Pu: 0.500 0.500 0.000
Sc: 0.236 0.737 0.499
Sc: 0.249 0.264 0.515
Sc: 0.249 0.734 0.985
Sc: 0.262 0.263 0.999
Sc: 0.738 0.737 0.001
Sc: 0.751 0.266 0.015
Sc: 0.751 0.736 0.485
Sc: 0.764 0.263 0.501

formation energy from the elements	0.46	eV per atom
size of the total moment	17.4	μB/cell
DFT total energy	-99.5	eV for the cell shown
SG	No. 74

---

# 6
DFT (PBE-GGA) results for a relaxed structure of CaScFe.

a = 3.483 Å, b = 3.483 Å, c = 6.821 Å
α = 90.00°, β = 90.00°, γ = 120.00°
Fractional coordinates of all 3 atoms:
Ca: 0.000 0.000 0.000
Sc: 0.333 0.667 0.534
Fe: 0.667 0.333 0.301

formation energy from the elements	0.41	eV per atom
size of the total moment	1.1	μB/cell
DFT total energy	-15.6	eV for the cell shown
distance to the lowest polymorph of the same formula	18.7	kJ per mole of atoms
SG	No. 156

---

- Which value of size of the total moment does entry 1 give?
  0.0 μB/cell